Record 1
Material: Ta2Co2Pd
Method: DFT, SCAN
State: PBEsol geometry

Results
Energy relative to the elements (eV/atom): -0.2413
Density of states at the Fermi level (states/eV per cell): 3.93
Calculated total energy (eV/atom): -40.351

abc: 6.835 6.835 2.966
angles: 90.00 90.00 90.00
Space group P4/mbm (No. 127)
Unique sites:
1 Ta 0.170 0.330 0.000
2 Co 0.130 0.630 0.500
3 Pd 0.000 0.000 0.500

---

Record 2
Material: Ta3CoPd
Method: DFT, SCAN
State: PBEsol geometry

Results
Energy relative to the elements (eV/atom): 0.7267
Density of states at the Fermi level (states/eV per cell): 4.61
Calculated total energy (eV/atom): -49.239

abc: 4.486 4.486 4.486
angles: 90.00 90.00 90.00
Space group Pm-3m (No. 221)
Unique sites:
1 Ta 0.000 0.000 0.500
2 Co 0.000 0.000 0.000
3 Pd 0.500 0.500 0.500

---

Record 3
Material: TaCoPd2
Method: DFT, SCAN
State: PBEsol geometry

Results
Energy relative to the elements (eV/atom): -0.0331
Density of states at the Fermi level (states/eV per cell): 14.59
Calculated total energy (eV/atom): -37.392

abc: 6.119 6.119 6.119
angles: 90.00 90.00 90.00
Space group Fm-3m (No. 225)
Unique sites:
1 Ta 0.000 0.000 0.000
2 Co 0.000 0.000 0.500
3 Pd 0.250 0.250 0.250

---

Record 4
Material: Co2TcPd
Method: DFT, SCAN
State: PBEsol geometry

Results
Energy relative to the elements (eV/atom): 0.2150
Density of states at the Fermi level (states/eV per cell): 17.67
Calculated total energy (eV/atom): -25.396

abc: 5.803 5.803 5.803
angles: 90.00 90.00 90.00
Space group Fm-3m (No. 225)
Unique sites:
1 Co 0.250 0.250 0.250
2 Tc 0.000 0.000 0.000
3 Pd 0.000 0.000 0.500